Entry 1:
## YHoZr (PBE)

Data for a geometry-optimized YHoZr structure.

Output
The space group is P4/nmm. The distance to the lowest polymorph of the same formula is 1.14 kJ per mole of atoms. The calculated density is 6.498 Mg/m³. As for the crystal system: tetragonal.

Cell and atoms, written as POSCAR:
```
YHoZr
1.0
-3.7468 -0.0602 -0.2370
0.0619 -3.7542 -0.0236
-0.7882 -0.0916 12.4841
Zr Y Ho
2 2 2
Cartesian
-1.9134 -0.0348 0.5150
-0.7173 -1.9640 11.8388
-2.4940 -0.1022 9.7113
-0.1366 -1.8966 2.6425
-2.1963 -0.0676 4.9960
-0.4343 -1.9312 7.3578
```

---

Entry 2:
## CaGa2CuPd (PBE)

Data for a geometry-optimized CaGa2CuPd structure.

Output
The space group is I-4m2. The calculated density is 6.100 Mg/m³. As for the crystal system: tetragonal. As for the total energy: -3.967 eV/atom.

Cell and atoms, written as POSCAR:
```
CaGa2CuPd
1.0
-2.5769 2.9067 1.9108
-3.4659 -2.3478 -1.1028
3.3683 -2.8431 3.9636
Ca Ga Cu Pd
1 2 1 1
Cartesian
0.0000 0.0000 0.0000
0.2588 -1.9125 3.2583
-2.9333 -0.3717 1.5133
-1.5595 -2.4557 1.6324
-1.1150 0.1715 3.1392
```

---

Entry 3:
## DyIn3 (PBE)

Data for a geometry-optimized DyIn3 structure.

Output
The space group is Imm2. The calculated density is 7.979 Mg/m³. As for the crystal system: orthorhombic. As for the total energy: -3.473 eV/atom.

Cell and atoms, written as POSCAR:
```
DyIn3
1.0
-2.4048 2.2498 -1.5359
-0.2092 -3.1727 -4.3201
-2.7453 -2.3344 5.1774
In Dy
3 1
Cartesian
-2.1024 -2.5035 -0.3754
-3.1931 0.2127 1.0127
-1.3034 -0.4070 -2.8538
-0.2068 -3.1359 -4.2700
```

---

Entry 4:
## Sr2CaP2 (PBE)

Data for a geometry-optimized Sr2CaP2 structure.

Output
The space group is Ibam. The distance to the lowest polymorph of the same formula is 0.00 kJ per mole of atoms. The calculated density is 3.031 Mg/m³. As for the crystal system: orthorhombic.

Cell and atoms, written as POSCAR:
```
Sr2CaP2
1.0
0.7427 0.2746 -6.5667
7.5440 -1.5039 0.7903
-5.2650 -5.2064 2.5179
P Ca Sr
4 2 4
Cartesian
-2.3701 -4.0325 -3.7677
0.9912 -4.9139 -0.0934
2.0305 -1.5218 -3.1650
5.3918 -2.4032 0.5093
3.9577 -0.6833 -1.2465
4.3290 -0.5460 -4.5298
0.7131 -1.9177 0.0005
4.0224 -5.0710 0.2429
2.3086 -4.5180 -3.2589
-1.0007 -1.3647 -3.5013
```

---

Entry 5:
## Nb4PtRh7 (PBE)

Data for a geometry-optimized Nb4PtRh7 structure.

Output
The space group is C2/m. The calculated density is 10.460 Mg/m³. As for the crystal system: monoclinic. As for the total energy: -8.168 eV/atom.

Cell and atoms, written as POSCAR:
```
Nb4PtRh7
1.0
-3.2909 -3.3053 0.8038
3.4687 -7.4244 -2.3939
0.5093 -2.6511 5.1186
Pt Rh Nb
1 7 4
Cartesian
0.0000 0.0000 0.0000
0.8153 -10.7124 1.0915
2.1628 -5.6742 -0.5434
-0.3731 -6.2238 0.7486
1.0602 -7.1570 2.7798
-0.1282 -2.6685 2.4369
-1.6455 -1.6527 0.4019
-1.4757 -7.7066 4.0718
-0.8543 -5.2040 2.9723
1.5414 -8.1768 0.5561
0.2990 -9.6624 3.2952
0.3881 -3.7184 0.2332
```

---

Entry 6:
## Ac6Te2P3Se (PBE)

Data for a geometry-optimized Ac6Te2P3Se structure.

Output
The space group is C2/m. The calculated density is 7.445 Mg/m³. As for the crystal system: monoclinic. For the formation energy from raw total energies, the calculation gives -19.4 eV per formula unit.

Cell and atoms, written as POSCAR:
```
Ac6Te2P3Se
1.0
-3.4503 -2.0926 1.9819
-2.4535 -3.6204 -8.0938
8.0486 -5.5711 3.0307
Te Ac P Se
2 6 3 1
Cartesian
1.2857 -3.4142 -1.3665
0.8591 -7.8699 -1.7147
0.2743 -3.5380 1.8411
3.8735 -8.5002 2.8677
1.8705 -7.7461 -4.9222
-1.7287 -2.7839 -5.9489
-1.1931 -5.3329 -2.6088
3.3379 -5.9512 -0.4724
0.0653 -5.2377 -5.4164
2.0795 -6.0464 2.3352
-2.9519 -2.8565 -3.0559
-1.7252 -1.0463 0.9910
```

---

Entry 7:
## LiCeSi (PBE)

Data for a geometry-optimized LiCeSi structure.

Output
The space group is I4mm. The calculated density is 4.980 Mg/m³. As for the crystal system: tetragonal. For the formation energy from raw total energies, the calculation gives -0.4 eV per formula unit.

Cell and atoms, written as POSCAR:
```
LiCeSi
1.0
3.0861 0.0000 0.0000
0.0000 3.0861 0.0000
-1.5430 -1.5430 6.1322
Li Si Ce
1 1 1
Cartesian
0.0000 0.0000 3.8741
1.5430 1.5430 5.2983
1.5430 1.5430 1.2524
```

---

Entry 8:
## RePN2O (PBE)

Data for a geometry-optimized RePN2O structure.

Output
The space group is P4/mmm. The calculated density is 7.294 Mg/m³. As for the crystal system: tetragonal. For the formation energy from raw total energies, the calculation gives 3.2 eV per formula unit.

Cell and atoms, written as POSCAR:
```
RePN2O
1.0
3.9681 0.0000 0.0000
0.0000 3.9681 0.0000
0.0000 0.0000 3.7766
N Re O P
2 1 1 1
Cartesian
1.9841 0.0000 0.0000
0.0000 1.9841 0.0000
0.0000 0.0000 0.0000
0.0000 0.0000 1.8883
1.9841 1.9841 1.8883
```

---

Entry 9:
## CeDy8Tm3 (PBE)

Data for a geometry-optimized CeDy8Tm3 structure.

Output
The space group is I-42m. The calculated density is 7.778 Mg/m³. As for the crystal system: tetragonal. As for the total energy: -4.046 eV/atom.

Cell and atoms, written as POSCAR:
```
CeDy8Tm3
1.0
-7.8225 -1.8436 2.0400
3.6460 -4.5887 -5.8653
5.9090 -1.4736 5.6271
Dy Tm Ce
8 3 1
Cartesian
7.5747 -4.2363 1.2567
-1.6984 -2.1034 0.9046
2.8801 -5.4531 0.9110
1.5012 -2.6564 0.4244
4.4502 -4.0356 -3.1868
7.0082 -5.0161 -1.6202
-4.7967 -2.0594 1.5027
5.6556 -2.3762 2.9349
0.3005 -4.7318 -1.9722
4.7775 -3.0312 -0.1191
1.4320 -3.1742 3.7740
0.0000 0.0000 0.0000
```

---

Entry 10:
## Zn3CuSe4 (PBE)

Data for a geometry-optimized Zn3CuSe4 structure.

Output
The space group is P-43m. The calculated density is 5.209 Mg/m³. As for the crystal system: cubic. For the formation energy from raw total energies, the calculation gives -4.2 eV per formula unit.

Cell and atoms, written as POSCAR:
```
Zn3CuSe4
1.0
-1.0500 -5.5848 -0.0273
2.3689 -0.4202 -5.1483
5.0575 -0.9626 2.4057
Zn Se Cu
3 4 1
Cartesian
2.0038 -3.2737 1.1892
3.7132 -0.6914 -1.3713
0.6595 -3.0025 -2.5878
2.2371 -4.7666 -3.3136
5.3447 -2.4148 -2.0757
1.5660 -1.7112 -0.6802
3.6051 -5.0426 0.5300
0.0000 0.0000 0.0000
```

---

Entry 11:
## Te3PBr (PBE)

Data for a geometry-optimized Te3PBr structure.

Output
The space group is Pm-3m. The distance to the lowest polymorph of the same formula is 44.25 kJ per mole of atoms. The calculated density is 5.552 Mg/m³. As for the crystal system: cubic. For the formation energy from raw total energies, the calculation gives 2.3 eV per formula unit.

Cell and atoms, written as POSCAR:
```
Te3PBr
1.0
-0.4340 -3.5565 -3.8856
2.4585 -3.5848 3.0066
-4.6586 -1.5605 1.9487
Te Br P
3 1 1
Cartesian
-0.2170 -1.7783 -1.9428
1.2293 -1.7924 1.5033
-2.3293 -0.7803 0.9743
-1.3170 -4.3510 0.5349
0.0000 0.0000 0.0000
```

---

Entry 12:
## KAlH4 (PBE)

Data for a geometry-optimized KAlH4 structure.

Output
The space group is C2/c. The calculated density is 1.478 Mg/m³. As for the crystal system: monoclinic. As for the total energy: -3.212 eV/atom.

Cell and atoms, written as POSCAR:
```
KAlH4
1.0
0.4820 -0.3450 5.8604
4.3010 -0.1040 0.2700
-2.2627 6.4835 -2.7074
H Al K
8 2 2
Cartesian
2.7396 2.5520 -0.1998
-0.2192 3.4826 3.6229
1.9090 2.3463 3.6960
0.5104 1.1906 -0.2795
2.0099 4.8439 3.7026
-1.5599 5.1400 -0.1917
4.0802 0.8945 3.6148
0.6114 3.6882 -0.2729
2.1119 4.0149 -1.1025
0.4084 2.0197 4.5256
0.2291 5.1886 1.7667
2.2913 0.8459 1.6564
```